An optimized crystal structure of K2YGe2. Source: Alexandria, functional PBEsol.

Properties
D(E_F)	0.421	states/eV per atom
formation energy	-0.08	eV/atom

abc: 4.237 4.237 7.966
angles: 105.42 105.42 90.00
Positions (direct):
1 Y 0.000 0.000 0.000
2 Ge 0.418 0.418 0.837
3 Ge 0.582 0.582 0.163
4 K 0.250 0.750 0.500
5 K 0.750 0.250 0.500



An optimized crystal structure of KY3Ge. Source: Alexandria, functional PBEsol.

Properties
D(E_F)	1.804	states/eV per atom
formation energy	0.08	eV/atom

abc: 5.595 5.595 5.595
angles: 90.00 90.00 90.00
Positions (direct):
1 Y 0.000 0.500 0.000
2 Y 0.000 0.000 0.500
3 Y 0.500 0.000 0.000
4 Ge 0.000 0.000 0.000
5 K 0.500 0.500 0.500



An optimized crystal structure of KZn2Ge2. Source: Alexandria, functional PBEsol.

Properties
D(E_F)	0.393	states/eV per atom
formation energy	-0.01	eV/atom

abc: 4.240 4.240 6.390
angles: 109.38 109.38 90.00
Positions (direct):
1 K 0.000 0.000 0.000
2 Ge 0.250 0.750 0.500
3 Ge 0.750 0.250 0.500
4 Zn 0.389 0.389 0.778
5 Zn 0.611 0.611 0.222



An optimized crystal structure of LaGe. Source: Alexandria, functional PBEsol.

Properties
D(E_F)	0.892	states/eV per atom
formation energy	-0.87	eV/atom

abc: 4.080 6.032 8.406
angles: 90.00 90.00 90.00
Positions (direct):
1 La 0.250 0.116 0.181
2 La 0.750 0.884 0.819
3 La 0.750 0.616 0.319
4 La 0.250 0.384 0.681
5 Ge 0.250 0.632 0.036
6 Ge 0.750 0.368 0.964
7 Ge 0.750 0.132 0.464
8 Ge 0.250 0.868 0.536



An optimized crystal structure of LaGe. Source: Alexandria, functional PBEsol.

Properties
D(E_F)	0.729	states/eV per atom
formation energy	-0.89	eV/atom

abc: 4.529 6.699 7.153
angles: 90.00 108.46 90.00
Positions (direct):
1 La 0.952 0.250 0.903
2 La 0.048 0.750 0.097
3 La 0.774 0.750 0.548
4 La 0.226 0.250 0.452
5 Ge 0.598 0.445 0.196
6 Ge 0.402 0.555 0.804
7 Ge 0.598 0.055 0.196
8 Ge 0.402 0.945 0.804



An optimized crystal structure of LaGe5. Source: Alexandria, functional PBEsol.

Properties
D(E_F)	0.427	states/eV per atom
formation energy	-0.35	eV/atom

abc: 3.999 6.137 6.137
angles: 61.43 70.99 70.99
Positions (direct):
1 La 0.000 0.000 0.000
2 Ge 0.330 0.469 0.872
3 Ge 0.670 0.531 0.128
4 Ge 0.670 0.128 0.531
5 Ge 0.330 0.872 0.469
6 Ge 0.000 0.500 0.500



An optimized crystal structure of LiLa3Ge. Source: Alexandria, functional PBEsol.

Properties
D(E_F)	2.125	states/eV per atom
formation energy	0.03	eV/atom

abc: 5.782 5.782 5.782
angles: 90.00 90.00 90.00
Positions (direct):
1 Ge 0.000 0.000 0.000
2 Li 0.500 0.500 0.500
3 La 0.000 0.500 0.000
4 La 0.000 0.000 0.500
5 La 0.500 0.000 0.000



An optimized crystal structure of LiLaGeO2. Source: Alexandria, functional PBEsol.

Properties
D(E_F)	0.335	states/eV per atom
final energy	-27.6	eV per formula unit

abc: 4.040 4.104 4.104
angles: 90.00 90.00 90.00
Positions (direct):
1 Ge 0.500 0.000 0.000
2 Li 0.000 0.000 0.000
3 O 0.000 0.000 0.500
4 O 0.000 0.500 0.000
5 La 0.500 0.500 0.500